Compound: HgTe2Os
Source: Alexandria
Functional: GGA-PBEsol
Structure: relaxed

Computed properties:
Mass density, g/cm³: 12.817
N(E_F), states/eV/f.u.: 4.5
Space-group type: No. 123
Uncorrected formation energy, meV/atom: 885

Cell lengths 5.042, 5.042, 3.292 Å; angles 90.00, 90.00, 90.00 degrees
Sites, in units of the cell vectors:
Hg: 0.000 0.000 0.000
Te: 0.000 0.500 0.500
Te: 0.500 0.000 0.500
Os: 0.500 0.500 0.000